1.
Material: MnCu2Cl
Method: DFT, PBE-GGA
State: relaxed

a b c (Å): 4.754 4.754 3.043
angles (deg): 90.00 90.00 117.91
Site moments in Bohr magnetons follow the coordinates.
Element x y z (fractional)
Mn 0.500 0.000 0.500  3.81
Cu 0.500 0.500 0.000  0.05
Cu 0.000 0.000 0.000  0.05
Cl 0.000 0.500 0.500  0.02

## Properties
space-group type = Cmmm
E_form (uncorrected) = 7.61 kcal/mol of atoms
ΔE to the lowest computed polymorph = 1.27 eV per formula unit



2.
Material: Pm2SmEr3Se6
Method: DFT, PBE-GGA
State: relaxed

a b c (Å): 4.072 8.324 9.244
angles (deg): 104.53 102.72 90.00
Element x y z (fractional)
Se 0.669 0.075 0.339
Se 0.337 0.408 0.674
Er 0.167 0.834 0.334
Sm 0.500 0.000 0.000
Pm 0.833 0.666 0.666
Se 0.331 0.925 0.661
Er 0.500 0.500 0.000
Se 0.663 0.592 0.326
Se 0.003 0.743 0.007
Er 0.833 0.166 0.666
Pm 0.167 0.334 0.334
Se 0.997 0.257 0.993

## Properties
space-group type = C2/m
E_form (uncorrected) = -40.76 kcal/mol of atoms



- Which of these has the lowest E_form (uncorrected)?
  Pm2SmEr3Se6



- Look up the E_form (uncorrected) of the second one.
  -40.76 kcal/mol of atoms



- What is the E_form (uncorrected) in the first record?
  7.61 kcal/mol of atoms



- E_form (uncorrected) of number 2 (Pm2SmEr3Se6)?
  -40.76 kcal/mol of atoms